# Ce3Tm2Sb3 PBE relaxed
# E_form (uncorrected) = -6.28 eV/f.u.
# N(E_F) = 3.121 states/eV/atom
data_Ce3Tm2Sb3
_cell_length_a 9.0867
_cell_length_b 9.0867
_cell_length_c 6.3808
_cell_angle_alpha 90.00
_cell_angle_beta 90.00
_cell_angle_gamma 120.00
_space_group_name_H-M_alt 'P 63/m c m'
_space_group_IT_number 193
_space_group_name_Hall '-P 6c 2'
loop_
_atom_site_label
_atom_site_fract_x
_atom_site_fract_y
_atom_site_fract_z
Ce1 0.0000 0.2451 0.2500
Tm1 0.3333 0.6667 0.0000
Sb1 0.0000 0.3956 0.7500